Record 1
LiNbTc2S | PBE-GGA | optimized geometry

```
5
Lattice="4.4388 0.0000 0.0000 0.0000 3.6875 0.0000 0.0000 0.0000 4.4388" Properties=species:S:1:pos:R:3 pbc="T T T"
Li 0.0000 0.0000 0.0000
S 0.0000 1.8437 0.0000
Tc 0.0000 0.0000 2.2194
Tc 2.2194 0.0000 0.0000
Nb 2.2194 1.8437 2.2194
```

Calculated values
VASP energy in eV/cell: -32.45
Formation energy from raw total energies in meV/atom: 879
SG: P4/mmm



Record 2
LiZnCr2 | PBE-GGA | optimized geometry

```
4
Lattice="3.9902 0.0000 0.0000 0.0000 2.4139 -0.0039 0.0000 0.8371 5.1658" Properties=species:S:1:pos:R:3 pbc="T T T"
Li 0.0000 1.4977 2.6261
Cr 0.0000 0.1570 0.1507
Cr 1.9951 0.8446 1.1607
Zn 1.9951 2.3771 3.8054
```

Calculated values
VASP energy in eV/cell: -21.45
Calculated formation energy in meV per atom: 246
SG: Pm
Relative energy among the computed polymorphs in meV/atom: 71



Record 3
PmIO4 | PBE-GGA | optimized geometry

```
12
Lattice="-1.6632 1.4808 5.7357 -5.7773 0.9743 1.8791 -0.2752 -7.0327 1.2171" Properties=species:S:1:pos:R:3 pbc="T T T"
O -4.5948 0.6219 2.6669
O -2.6011 -2.6321 5.2734
O -5.1146 -1.9455 3.5586
O -3.1209 -5.1995 6.1650
O -1.3724 -1.1617 1.7612
O -6.0625 0.1181 6.5964
O -6.3432 -3.4159 7.0708
O -1.6532 -4.6957 2.2355
I -5.7720 -0.7747 2.2528
I -1.9436 -3.8029 6.5791
Pm -0.9692 -2.7760 3.4764
Pm -2.8886 0.4872 0.9396
```

Calculated values
VASP energy in eV/cell: -71.26
Formation energy from raw total energies in meV/atom: -1583
SG: C2/c
Relative energy among the computed polymorphs in meV/atom: 88